The following is a DFT calculation (PBE) of a geometry-optimized K2SiSe structure.

## Properties
SG: Imm2
Electronic total energy, eV/cell: -12.3
Offset from the most stable computed form, meV/atom: 39
Total moment, μB per cell: 0.00

a = 6.657 Å, b = 6.657 Å, c = 6.657 Å
α = 143.84°, β = 132.70°, γ = 60.95°
Atoms (fractional coordinates):
K  0.015  0.015  0.000
K  0.737  0.237  0.500
Se  0.437  0.437  0.000
Si  0.311  0.811  0.500